Material: LaY4Al
Method: DFT, PBE
State: relaxed

abc: 3.608 3.608 14.026
angles: 90.00 90.00 90.00
Space group P4/mmm (No. 123)
Inequivalent atoms, fractional coordinates:
La: 0.000 0.000 0.000
Y: 0.000 0.000 0.369
Y: 0.500 0.500 0.185
Al: 0.500 0.500 0.500

Output
The value obtained for the energy relative to the lowest polymorph listed for this composition is 0.000 eV per atom. For the volume, the calculation gives 182.62 Å³ per cell. The value obtained for the formation energy is -0.1221 eV/atom. As for the total moment: 0.000 μB/atom.

---

Material: LaYAl
Method: DFT, PBE
State: relaxed

abc: 5.4160 5.4160 6.7132
angles: 90.00 90.00 120.00
Space group P6_3/mmc (No. 194)
Inequivalent atoms, fractional coordinates:
La: 0.0000 0.0000 0.0000
Y: 0.3333 0.6667 0.2500
Al: 0.3333 0.6667 0.7500

Output
The value obtained for the energy relative to the lowest polymorph listed for this composition is 0.000 eV per atom. For the volume, the calculation gives 170.53 Å³ per cell. The value obtained for the formation energy is -0.2408 eV/atom. As for the total moment: 0.000 μB/atom.

---

Material: LaY2Al
Method: DFT, PBE
State: relaxed

abc: 3.558 3.558 9.402
angles: 90.00 90.00 90.00
Space group P4mm (No. 99)
Inequivalent atoms, fractional coordinates:
La: 0.000 0.000 0.000
Y: 0.000 0.000 0.576
Y: 0.500 0.500 0.301
Al: 0.500 0.500 0.777

Output
For the volume, the calculation gives 119.04 Å³ per cell. The value obtained for the formation energy is -0.1603 eV/atom. As for the total moment: 0.000 μB/atom.

---

Material: LaYAl2
Method: DFT, PBE
State: relaxed

abc: 4.6333 4.6333 17.2309
angles: 90.00 90.00 120.00
Space group R3m (No. 160, hexagonal axes)
Inequivalent atoms, fractional coordinates:
La: 0.0000 0.0000 0.0000
Y: 0.0000 0.0000 0.7988
Al: 0.0000 0.0000 0.2163
Al: 0.0000 0.0000 0.5673

Output
For the volume, the calculation gives 320.35 Å³ per cell. The value obtained for the formation energy is -0.2467 eV/atom. As for the total moment: 0.000 μB/atom.

---

Material: LaYAl
Method: DFT, PBE
State: relaxed

abc: 3.537 4.394 10.821
angles: 90.00 90.00 90.00
Space group Imm2 (No. 44)
Inequivalent atoms, fractional coordinates:
La: 0.000 0.000 0.000
Y: 0.000 0.000 0.708
Al: 0.000 0.000 0.338

Output
The value obtained for the energy relative to the lowest polymorph listed for this composition is 0.041 eV per atom. For the volume, the calculation gives 168.18 Å³ per cell. The value obtained for the formation energy is -0.1995 eV/atom. As for the total moment: 0.000 μB/atom.

---

Material: LaY2Al
Method: DFT, PBE
State: relaxed

abc: 5.371 6.964 12.183
angles: 90.00 90.00 90.00
Space group Amm2 (No. 38)
Inequivalent atoms, fractional coordinates:
La: 0.000 0.223 0.000
Y: 0.000 0.000 0.240
Y: 0.500 0.000 0.590
Y: 0.500 0.236 0.828
Al: 0.000 0.000 0.746
Al: 0.500 0.000 0.092

Output
For the volume, the calculation gives 455.69 Å³ per cell. The value obtained for the formation energy is -0.1827 eV/atom. As for the total moment: 0.000 μB/atom.

---

Material: LaY4Al
Method: DFT, PBE
State: relaxed

abc: 9.153 9.153 9.153
angles: 90.00 90.00 90.00
Space group F-43m (No. 216)
Inequivalent atoms, fractional coordinates:
La: 0.000 0.000 0.000
Y: 0.125 0.125 0.625
Al: 0.250 0.250 0.250

Output
The value obtained for the energy relative to the lowest polymorph listed for this composition is 0.434 eV per atom. For the volume, the calculation gives 766.73 Å³ per cell. The value obtained for the formation energy is 0.3117 eV/atom. As for the total moment: 0.213 μB/atom.

---

Material: La3YAl2
Method: DFT, PBE
State: relaxed

abc: 5.283 9.929 6.793
angles: 90.00 90.00 90.00
Space group Pmc2_1 (No. 26)
Inequivalent atoms, fractional coordinates:
La: 0.000 0.048 0.000
La: 0.000 0.329 0.340
La: 0.500 0.177 0.729
Y: 0.500 0.452 0.056
Al: 0.000 0.358 0.827
Al: 0.500 0.151 0.240

Output
For the volume, the calculation gives 356.29 Å³ per cell. The value obtained for the formation energy is -0.2661 eV/atom. As for the total moment: 0.000 μB/atom.

---

Material: LaYAl2
Method: DFT, PBE
State: relaxed

abc: 8.380 8.380 6.212
angles: 90.00 90.00 90.00
Space group I-42d (No. 122)
Inequivalent atoms, fractional coordinates:
La: 0.000 0.000 0.000
Y: 0.000 0.000 0.500
Al: 0.238 0.250 0.625

Output
For the volume, the calculation gives 436.24 Å³ per cell. The value obtained for the formation energy is 0.0693 eV/atom. As for the total moment: 0.104 μB/atom.

---

Material: LaYAl3
Method: DFT, PBE
State: relaxed

abc: 5.415 5.415 5.415
angles: 90.00 90.00 90.00
Space group Pm-3m (No. 221)
Inequivalent atoms, fractional coordinates:
La: 0.000 0.000 0.000
Y: 0.500 0.500 0.500
Al: 0.000 0.000 0.500

Output
The value obtained for the energy relative to the lowest polymorph listed for this composition is 1.306 eV per atom. For the volume, the calculation gives 158.78 Å³ per cell. The value obtained for the formation energy is 0.8654 eV/atom. As for the total moment: 0.000 μB/atom.

---

Material: LaYAl2
Method: DFT, PBE
State: relaxed

abc: 3.980 4.905 10.489
angles: 90.00 90.00 90.00
Space group Imm2 (No. 44)
Inequivalent atoms, fractional coordinates:
La: 0.000 0.000 0.000
Y: 0.000 0.500 0.772
Al: 0.000 0.000 0.558
Al: 0.000 0.500 0.228

Output
For the volume, the calculation gives 204.75 Å³ per cell. The value obtained for the formation energy is -0.3560 eV/atom. As for the total moment: 0.000 μB/atom.

---

Material: LaY6Al2
Method: DFT, PBE
State: relaxed

abc: 12.628 3.721 11.907
angles: 90.00 108.17 90.00
Space group C2/m (No. 12)
Inequivalent atoms, fractional coordinates:
La: 0.000 0.000 0.000
Y: 0.019 0.000 0.332
Y: 0.189 0.500 0.584
Y: 0.192 0.500 0.873
Al: 0.153 0.500 0.218

Output
For the volume, the calculation gives 531.64 Å³ per cell. The value obtained for the formation energy is -0.1695 eV/atom. As for the total moment: 0.000 μB/atom.

---

The lowest volume belongs to which entry? number 3

---

Which formula does entry 6 have? LaY2Al

---

Look up the total moment of the ninth one. 0.104 μB/atom